The following is a PBE calculation of a relaxed structure of Li2YSc, from Alexandria.

## Properties
Magnetic moment: 0.00 Bohr magnetons per cell
Energy: -3.942 eV per atom

a = 6.1368 Å, b = 6.1368 Å, c = 3.1876 Å
α = 100.78°, β = 100.78°, γ = 117.96°
Fractional coordinates of all 4 atoms:
Li  0.0000  0.5000  0.0000
Li  0.5000  0.0000  0.0000
Y  0.0000  0.0000  0.5000
Sc  0.5000  0.5000  0.5000